# Hf3GaRe | Alexandria | PBE | relaxed
# Crystal system = cubic
# Size of the total moment = 0.000 μB per cell
# Excess energy over the best structure of this formula in the dataset = 423 meV/atom
data_Hf3GaRe
_cell_length_a 4.8246
_cell_length_b 4.8246
_cell_length_c 4.8246
_cell_angle_alpha 90.00
_cell_angle_beta 90.00
_cell_angle_gamma 90.00
_space_group_name_H-M_alt 'P m -3 m'
_space_group_IT_number 221
_space_group_name_Hall '-P 4 2 3'
loop_
_atom_site_label
_atom_site_type_symbol
_atom_site_fract_x
_atom_site_fract_y
_atom_site_fract_z
_atom_site_occupancy
Hf1 Hf 0.0000 0.0000 0.5000 1
Ga1 Ga 0.0000 0.0000 0.0000 1
Re1 Re 0.5000 0.5000 0.5000 1

---

# Hf2GaReRh | Alexandria | PBE | relaxed
# Crystal system = tetragonal
# Size of the total moment = 0.001 μB per cell
# Calculated total energy = -39.4 eV per cell
data_Hf2GaReRh
_cell_length_a 4.8817
_cell_length_b 4.8817
_cell_length_c 4.4861
_cell_angle_alpha 90.00
_cell_angle_beta 90.00
_cell_angle_gamma 90.00
_space_group_name_H-M_alt 'P 4/m m m'
_space_group_IT_number 123
_space_group_name_Hall '-P 4 2'
loop_
_atom_site_label
_atom_site_type_symbol
_atom_site_fract_x
_atom_site_fract_y
_atom_site_fract_z
_atom_site_occupancy
Hf1 Hf 0.0000 0.5000 0.0000 1
Ga1 Ga 0.0000 0.0000 0.5000 1
Re1 Re 0.5000 0.5000 0.5000 1
Rh1 Rh 0.0000 0.0000 0.0000 1

---

# Hf2GaReSb | Alexandria | PBE | relaxed
# Crystal system = tetragonal
# Size of the total moment = 0.000 μB per cell
# E_form (uncorrected) = 0.37 eV/atom
data_Hf2GaReSb
_cell_length_a 5.0688
_cell_length_b 5.0688
_cell_length_c 4.8102
_cell_angle_alpha 90.00
_cell_angle_beta 90.00
_cell_angle_gamma 90.00
_space_group_name_H-M_alt 'P 4/m m m'
_space_group_IT_number 123
_space_group_name_Hall '-P 4 2'
loop_
_atom_site_label
_atom_site_type_symbol
_atom_site_fract_x
_atom_site_fract_y
_atom_site_fract_z
_atom_site_occupancy
Hf1 Hf 0.0000 0.5000 0.0000 1
Ga1 Ga 0.0000 0.0000 0.5000 1
Re1 Re 0.0000 0.0000 0.0000 1
Sb1 Sb 0.5000 0.5000 0.5000 1

---

# HfGaReSe2 | Alexandria | PBE | relaxed
# Crystal system = tetragonal
# Size of the total moment = 0.000 μB per cell
# E_form (uncorrected) = 0.51 eV/atom
data_HfGaReSe2
_cell_length_a 4.7866
_cell_length_b 4.7866
_cell_length_c 5.2452
_cell_angle_alpha 90.00
_cell_angle_beta 90.00
_cell_angle_gamma 90.00
_space_group_name_H-M_alt 'P 4/m m m'
_space_group_IT_number 123
_space_group_name_Hall '-P 4 2'
loop_
_atom_site_label
_atom_site_type_symbol
_atom_site_fract_x
_atom_site_fract_y
_atom_site_fract_z
_atom_site_occupancy
Hf1 Hf 0.0000 0.0000 0.0000 1
Ga1 Ga 0.5000 0.5000 0.0000 1
Re1 Re 0.0000 0.0000 0.5000 1
Se1 Se 0.0000 0.5000 0.5000 1

---

# HfGaReSi2 | Alexandria | PBE | relaxed
# Crystal system = tetragonal
# Size of the total moment = 0.003 μB per cell
# E_form (uncorrected) = 1.84 eV/atom
data_HfGaReSi2
_cell_length_a 4.8128
_cell_length_b 4.8128
_cell_length_c 4.8690
_cell_angle_alpha 90.00
_cell_angle_beta 90.00
_cell_angle_gamma 90.00
_space_group_name_H-M_alt 'P 4/m m m'
_space_group_IT_number 123
_space_group_name_Hall '-P 4 2'
loop_
_atom_site_label
_atom_site_type_symbol
_atom_site_fract_x
_atom_site_fract_y
_atom_site_fract_z
_atom_site_occupancy
Hf1 Hf 0.0000 0.0000 0.0000 1
Ga1 Ga 0.0000 0.0000 0.5000 1
Re1 Re 0.5000 0.5000 0.5000 1
Si1 Si 0.0000 0.5000 0.0000 1

---

# SrHfGaRe2 | Alexandria | PBE | relaxed
# Crystal system = tetragonal
# Size of the total moment = 0.001 μB per cell
# Calculated total energy = -26.3 eV per cell
data_SrHfGaRe2
_cell_length_a 4.8362
_cell_length_b 4.8362
_cell_length_c 4.9288
_cell_angle_alpha 90.00
_cell_angle_beta 90.00
_cell_angle_gamma 90.00
_space_group_name_H-M_alt 'P 4/m m m'
_space_group_IT_number 123
_space_group_name_Hall '-P 4 2'
loop_
_atom_site_label
_atom_site_type_symbol
_atom_site_fract_x
_atom_site_fract_y
_atom_site_fract_z
_atom_site_occupancy
Sr1 Sr 0.0000 0.0000 0.0000 1
Hf1 Hf 0.5000 0.5000 0.5000 1
Ga1 Ga 0.0000 0.0000 0.5000 1
Re1 Re 0.0000 0.5000 0.0000 1

---

# HfTiGaRe | Alexandria | PBE | relaxed
# Crystal system = cubic
# Size of the total moment = 0.009 μB per cell
# Excess energy over the best structure of this formula in the dataset = 129 meV/atom
data_HfTiGaRe
_cell_length_a 6.4578
_cell_length_b 6.4578
_cell_length_c 6.4578
_cell_angle_alpha 90.00
_cell_angle_beta 90.00
_cell_angle_gamma 90.00
_space_group_name_H-M_alt 'F -4 3 m'
_space_group_IT_number 216
_space_group_name_Hall 'F -4 2 3'
loop_
_atom_site_label
_atom_site_type_symbol
_atom_site_fract_x
_atom_site_fract_y
_atom_site_fract_z
_atom_site_occupancy
Hf1 Hf 0.0000 0.0000 0.0000 1
Ti1 Ti 0.0000 0.0000 0.5000 1
Ga1 Ga 0.2500 0.2500 0.2500 1
Re1 Re 0.2500 0.2500 0.7500 1

---

# Hf2TiGaRe | Alexandria | PBE | relaxed
# Crystal system = tetragonal
# Size of the total moment = 1.626 μB per cell
# Calculated total energy = -38.7 eV per cell
data_Hf2TiGaRe
_cell_length_a 4.9222
_cell_length_b 4.9222
_cell_length_c 4.5282
_cell_angle_alpha 90.00
_cell_angle_beta 90.00
_cell_angle_gamma 90.00
_space_group_name_H-M_alt 'P 4/m m m'
_space_group_IT_number 123
_space_group_name_Hall '-P 4 2'
loop_
_atom_site_label
_atom_site_type_symbol
_atom_site_fract_x
_atom_site_fract_y
_atom_site_fract_z
_atom_site_occupancy
Hf1 Hf 0.0000 0.5000 0.0000 1
Ti1 Ti 0.0000 0.0000 0.5000 1
Ga1 Ga 0.5000 0.5000 0.0000 1
Re1 Re 0.5000 0.5000 0.5000 1

---

# HfTiGaRe | Alexandria | PBE | relaxed
# Crystal system = tetragonal
# Size of the total moment = 0.000 μB per cell
# Excess energy over the best structure of this formula in the dataset = 0 meV/atom
data_HfTiGaRe
_cell_length_a 3.2648
_cell_length_b 3.2648
_cell_length_c 6.3009
_cell_angle_alpha 90.00
_cell_angle_beta 90.00
_cell_angle_gamma 90.00
_space_group_name_H-M_alt 'P 4 m m'
_space_group_IT_number 99
loop_
_space_group_symop_operation_xyz
'x,y,z'
'-y,x,z'
'-x,-y,z'
'y,-x,z'
'-x,y,z'
'y,x,z'
'x,-y,z'
'-y,-x,z'
loop_
_atom_site_label
_atom_site_type_symbol
_atom_site_fract_x
_atom_site_fract_y
_atom_site_fract_z
_atom_site_occupancy
Hf1 Hf 0.0000 0.0000 0.0000 1
Ti1 Ti 0.0000 0.0000 0.4828 1
Ga1 Ga 0.5000 0.5000 0.7191 1
Re1 Re 0.5000 0.5000 0.2563 1

---

# HfTi2GaRe | Alexandria | PBE | relaxed
# Crystal system = tetragonal
# Size of the total moment = 0.000 μB per cell
# Calculated total energy = -33.7 eV per cell
data_HfTi2GaRe
_cell_length_a 4.8214
_cell_length_b 4.8214
_cell_length_c 4.7260
_cell_angle_alpha 90.00
_cell_angle_beta 90.00
_cell_angle_gamma 90.00
_space_group_name_H-M_alt 'P 4/m m m'
_space_group_IT_number 123
_space_group_name_Hall '-P 4 2'
loop_
_atom_site_label
_atom_site_type_symbol
_atom_site_fract_x
_atom_site_fract_y
_atom_site_fract_z
_atom_site_occupancy
Hf1 Hf 0.0000 0.0000 0.0000 1
Ti1 Ti 0.0000 0.5000 0.0000 1
Ga1 Ga 0.5000 0.5000 0.5000 1
Re1 Re 0.0000 0.0000 0.5000 1

---

# HfZrGaRe | Alexandria | PBE | relaxed
# Crystal system = cubic
# Size of the total moment = 0.000 μB per cell
# Calculated total energy = -141.3 eV per cell
data_HfZrGaRe
_cell_length_a 6.6470
_cell_length_b 6.6470
_cell_length_c 6.6470
_cell_angle_alpha 90.00
_cell_angle_beta 90.00
_cell_angle_gamma 90.00
_space_group_name_H-M_alt 'F -4 3 m'
_space_group_IT_number 216
_space_group_name_Hall 'F -4 2 3'
loop_
_atom_site_label
_atom_site_type_symbol
_atom_site_fract_x
_atom_site_fract_y
_atom_site_fract_z
_atom_site_occupancy
Hf1 Hf 0.0000 0.0000 0.0000 1
Zr1 Zr 0.0000 0.0000 0.5000 1
Ga1 Ga 0.2500 0.2500 0.7500 1
Re1 Re 0.2500 0.2500 0.2500 1

---

# HfGa4Rh5 | Alexandria | PBE | relaxed
# Crystal system = tetragonal
# Size of the total moment = 0.000 μB per cell
# Calculated total energy = -66.2 eV per cell
data_HfGa4Rh5
_cell_length_a 3.0129
_cell_length_b 3.0129
_cell_length_c 16.1285
_cell_angle_alpha 90.00
_cell_angle_beta 90.00
_cell_angle_gamma 90.00
_space_group_name_H-M_alt 'P 4/m m m'
_space_group_IT_number 123
_space_group_name_Hall '-P 4 2'
loop_
_atom_site_label
_atom_site_type_symbol
_atom_site_fract_x
_atom_site_fract_y
_atom_site_fract_z
_atom_site_occupancy
Hf1 Hf 0.0000 0.0000 0.0000 1
Ga1 Ga 0.0000 0.0000 0.2115 1
Ga2 Ga 0.0000 0.0000 0.4044 1
Rh1 Rh 0.5000 0.5000 0.1176 1
Rh2 Rh 0.5000 0.5000 0.3109 1
Rh3 Rh 0.5000 0.5000 0.5000 1